(1)
Below is a crystal of BaAl2Os relaxed with PBEsol, with properties calculated at the meta-GGA SCAN level.

Energy relative to the elements: -13 meV per atom

a b c (Å): 3.0780 4.0568 7.2598
angles (deg): 90.00 99.08 90.00
Last column: nearest neighbours and their distance in Å.
Fractional positions:
Ba1 0.0000 0.0000 0.0000  2 Ba 3.08, 5 Al 3.14-3.42
Al1 0.2970 0.0000 0.4346  4 Os 2.54-2.57, 2 Al 2.70
Al2 0.3811 0.5000 0.6824  2 Os 2.51, 2 Al 2.70
Os1 0.7771 0.5000 0.4058  6 Al 2.51-2.57

(2)
Below is a crystal of BaAlTl2Os relaxed with PBEsol, with properties calculated at the meta-GGA SCAN level.

Energy relative to the elements: 1155 meV per atom

a b c (Å): 5.0785 5.0785 6.0867
angles (deg): 90.00 90.00 90.00
Last column: nearest neighbours and their distance in Å.
Fractional positions:
Ba1 0.0000 0.0000 0.0000  2 Al 3.04
Al1 0.0000 0.0000 0.5000  4 Tl 2.54
Tl1 0.0000 0.5000 0.5000  2 Al 2.54
Tl2 0.5000 0.0000 0.5000  2 Al 2.54
Os1 0.5000 0.5000 0.0000  4 Ba 3.59, 8 Tl 3.96

(3)
Below is a crystal of Ba2AlP relaxed with PBEsol, with properties calculated at the meta-GGA SCAN level.

Distance to the lowest polymorph of the same formula: 0 meV per atom
Energy relative to the elements: -629 meV per atom

a b c (Å): 6.4755 6.4755 6.4755
angles (deg): 144.48 132.63 60.59
Last column: nearest neighbours and their distance in Å.
Fractional positions:
Ba1 0.0000 0.0000 0.0000  4 Al 3.40, 2 Ba 3.48, 4 P 3.59-3.69
Ba2 0.7069 0.2069 0.5000  4 P 3.36, 2 Ba 3.48, 2 Al 3.49
Al1 0.4146 0.4146 0.0000  2 P 2.49
P1 0.2790 0.7790 0.5000  2 Al 2.49

(4)
Below is a crystal of Ba3Al2P4 relaxed with PBEsol, with properties calculated at the meta-GGA SCAN level.

Energy relative to the elements: -1137 meV per atom

a b c (Å): 7.2414 11.5041 11.5216
angles (deg): 90.00 90.00 90.00
Last column: nearest neighbours and their distance in Å.
Fractional positions:
Ba1 0.0798 0.0768 0.1386  6 P 3.13-3.49
Ba2 0.0798 0.4232 0.1386  6 P 3.13-3.49
Ba3 0.0963 0.2500 0.7648  6 P 3.15-3.35
Ba4 0.4037 0.7500 0.2648  6 P 3.15-3.35
Ba5 0.4202 0.5768 0.6386  6 P 3.13-3.49
Ba6 0.4202 0.9232 0.6386  6 P 3.13-3.49
Ba7 0.5798 0.0768 0.3614  6 P 3.13-3.49
Ba8 0.5798 0.4232 0.3614  6 P 3.13-3.49
Ba9 0.5963 0.2500 0.7352  6 P 3.15-3.35
Ba10 0.9037 0.7500 0.2352  6 P 3.15-3.35
Ba11 0.9202 0.5768 0.8614  6 P 3.13-3.49
Ba12 0.9202 0.9232 0.8614  6 P 3.13-3.49
Al1 0.0589 0.1250 0.4633  4 P 2.38-2.44
Al2 0.0589 0.3750 0.4633  4 P 2.38-2.44
Al3 0.4411 0.6250 0.9633  4 P 2.38-2.44
Al4 0.4411 0.8750 0.9633  4 P 2.38-2.44
Al5 0.5589 0.1250 0.0367  4 P 2.38-2.44
Al6 0.5589 0.3750 0.0367  4 P 2.38-2.44
Al7 0.9411 0.6250 0.5367  4 P 2.38-2.44
Al8 0.9411 0.8750 0.5367  4 P 2.38-2.44
P1 0.0909 0.7500 0.6717  2 Al 2.38
P2 0.1546 0.5578 0.3869  2 Al 2.38-2.44
P3 0.1546 0.9422 0.3869  2 Al 2.38-2.44
P4 0.1898 0.7500 0.0267  2 Al 2.43
P5 0.3102 0.2500 0.5267  2 Al 2.43
P6 0.3454 0.0578 0.8869  2 Al 2.38-2.44
P7 0.3454 0.4422 0.8869  2 Al 2.38-2.44
P8 0.4091 0.2500 0.1717  2 Al 2.38
P9 0.5909 0.7500 0.8283  2 Al 2.38
P10 0.6546 0.5578 0.1131  2 Al 2.38-2.44
P11 0.6546 0.9422 0.1131  2 Al 2.38-2.44
P12 0.6898 0.7500 0.4733  2 Al 2.43
P13 0.8102 0.2500 0.9733  2 Al 2.43
P14 0.8454 0.0578 0.6131  2 Al 2.38-2.44
P15 0.8454 0.4422 0.6131  2 Al 2.38-2.44
P16 0.9091 0.2500 0.3283  2 Al 2.38

(5)
Below is a crystal of BaAlP relaxed with PBEsol, with properties calculated at the meta-GGA SCAN level.

Energy relative to the elements: -439 meV per atom

a b c (Å): 6.2570 6.2570 6.2570
angles (deg): 147.21 147.21 47.06
Last column: nearest neighbours and their distance in Å.
Fractional positions:
Ba1 0.0000 0.0000 0.0000  5 Al 3.25-3.53, 5 P 3.36-3.45, 4 Ba 3.53
Al1 0.2832 0.2832 0.0000  4 P 2.64
P1 0.7075 0.7075 0.0000  4 Al 2.64

(6)
Below is a crystal of Ba2AlP relaxed with PBEsol, with properties calculated at the meta-GGA SCAN level.

Distance to the lowest polymorph of the same formula: 275 meV per atom
Energy relative to the elements: -353 meV per atom

a b c (Å): 5.8744 5.8744 5.8744
angles (deg): 128.41 128.41 75.96
Last column: nearest neighbours and their distance in Å.
Fractional positions:
Ba1 0.2500 0.7500 0.5000  4 P 3.45, 4 Al 3.45, 4 Ba 3.62
Ba2 0.7500 0.2500 0.5000  4 P 3.45, 4 Al 3.45, 4 Ba 3.62
Al1 0.0000 0.0000 0.0000  8 Ba 3.45, 4 P 3.62
P1 0.5000 0.5000 0.0000  8 Ba 3.45, 4 Al 3.62

(7)
Below is a crystal of Ba2AlP relaxed with PBEsol, with properties calculated at the meta-GGA SCAN level.

Distance to the lowest polymorph of the same formula: 500 meV per atom
Energy relative to the elements: -129 meV per atom

a b c (Å): 4.5672 4.5672 6.6926
angles (deg): 90.00 90.00 90.00
Last column: nearest neighbours and their distance in Å.
Fractional positions:
Ba1 0.0000 0.0000 0.0000  1 P 3.14, 4 Al 3.32
Ba2 0.5000 0.5000 0.4224  1 Al 3.10, 4 P 3.31
Al1 0.5000 0.5000 0.8853  5 Ba 3.10-3.32
P1 0.0000 0.0000 0.5302  5 Ba 3.14-3.31

(8)
Below is a crystal of Ba2AlTcP relaxed with PBEsol, with properties calculated at the meta-GGA SCAN level.

Energy relative to the elements: 22 meV per atom

a b c (Å): 6.0679 6.0679 4.4193
angles (deg): 90.00 90.00 90.00
Last column: nearest neighbours and their distance in Å.
Fractional positions:
Ba1 0.0000 0.5000 0.0000  2 P 3.03
Ba2 0.5000 0.0000 0.0000  2 P 3.03
Al1 0.0000 0.0000 0.5000  8 Ba 3.75
Tc1 0.5000 0.5000 0.5000  2 P 2.21
P1 0.5000 0.5000 0.0000  2 Tc 2.21

(9)
Below is a crystal of BaAlZn2P relaxed with PBEsol, with properties calculated at the meta-GGA SCAN level.

Energy relative to the elements: 178 meV per atom

a b c (Å): 4.8510 4.8510 5.0601
angles (deg): 90.00 90.00 90.00
Last column: nearest neighbours and their distance in Å.
Fractional positions:
Ba1 0.0000 0.0000 0.0000  4 Al 3.43, 8 Zn 3.50
Al1 0.5000 0.5000 0.0000  2 P 2.53
Zn1 0.0000 0.5000 0.5000  2 P 2.43
Zn2 0.5000 0.0000 0.5000  2 P 2.43
P1 0.5000 0.5000 0.5000  4 Zn 2.43, 2 Al 2.53

(10)
Below is a crystal of Ba5Al5Pb relaxed with PBEsol, with properties calculated at the meta-GGA SCAN level.

Energy relative to the elements: -416 meV per atom

a b c (Å): 6.0321 6.0321 11.0257
angles (deg): 90.00 90.00 120.00
Last column: nearest neighbours and their distance in Å.
Fractional positions:
Ba1 0.0000 0.0000 0.0000  3 Pb 3.48, 2 Al 3.55
Ba2 0.3333 0.6667 0.3286  9 Al 3.48-3.56, 1 Pb 3.62, 4 Ba 3.75-3.78
Ba3 0.3333 0.6667 0.6714  9 Al 3.48-3.56, 1 Pb 3.62, 4 Ba 3.75-3.78
Ba4 0.6667 0.3333 0.2023  6 Al 3.66-3.72, 3 Ba 3.75
Ba5 0.6667 0.3333 0.7977  6 Al 3.66-3.72, 3 Ba 3.75
Al1 0.0000 0.0000 0.3218  3 Al 2.71
Al2 0.0000 0.0000 0.6782  3 Al 2.71
Al3 0.3578 0.1789 0.5000  4 Al 2.71-2.79
Al4 0.8211 0.1789 0.5000  4 Al 2.71-2.79
Al5 0.8211 0.6422 0.5000  4 Al 2.71-2.79
Pb1 0.3333 0.6667 0.0000  5 Ba 3.48-3.62

(11)
Below is a crystal of Ba3AlPb relaxed with PBEsol, with properties calculated at the meta-GGA SCAN level.

Energy relative to the elements: 43 meV per atom

a b c (Å): 6.5763 6.5763 6.5763
angles (deg): 90.00 90.00 90.00
Last column: nearest neighbours and their distance in Å.
Fractional positions:
Ba1 0.0000 0.0000 0.5000  2 Pb 3.29
Ba2 0.0000 0.5000 0.0000  2 Pb 3.29
Ba3 0.5000 0.0000 0.0000  2 Pb 3.29
Al1 0.5000 0.5000 0.5000  12 Ba 4.65
Pb1 0.0000 0.0000 0.0000  6 Ba 3.29

(12)
Below is a crystal of BaAl2Pb relaxed with PBEsol, with properties calculated at the meta-GGA SCAN level.

Energy relative to the elements: -155 meV per atom

a b c (Å): 3.5271 3.9318 7.6701
angles (deg): 90.00 90.00 90.00
Last column: nearest neighbours and their distance in Å.
Fractional positions:
Ba1 0.0000 0.0000 0.0000  5 Al 3.46-3.51, 2 Ba 3.53, 4 Pb 3.66
Al1 0.0000 0.0000 0.5493  4 Al 2.88, 4 Pb 3.13
Al2 0.5000 0.5000 0.6995  1 Pb 2.83, 4 Al 2.88
Pb1 0.5000 0.5000 0.3300  5 Al 2.83-3.13

Q: Look up the energy relative to the elements of the tenth one.
A: -416 meV per atom

Q: Look up the energy relative to the elements of the twelfth one.
A: -155 meV per atom

Q: What is the formula in the second record?
A: BaAlTl2Os